Material: Cs2CoSbF6
Method: DFT, PBE with a Hubbard U
State: optimized geometry

a b c (Å): 7.117 7.117 7.117
angles (deg): 129.47 129.47 74.26
Sites, in units of the cell vectors:
Cs (0.250, 0.750, 0.500)
Cs (0.750, 0.250, 0.500)
Co (0.000, 0.000, 0.000)
Sb (0.500, 0.500, 0.000)
F (0.240, 0.240, 0.480)
F (0.240, 0.760, 0.000)
F (0.307, 0.307, 0.000)
F (0.693, 0.693, 0.000)
F (0.760, 0.240, 0.000)
F (0.760, 0.760, 0.520)

Spin magnetization (μB per formula unit): 2.00
Space-group type: I4/mmm
DOS at the Fermi energy (states/eV per cell): 0.0
Total energy (eV per atom): -4.409